# Li3Ni2IrO6 GGA+U optimized geometry
# magnetization = 12.09 Bohr magnetons per cell
# total DFT energy (no corrections) = -5.467 eV per atom
# crystal system = monoclinic
# theoretical density = 6.25 g/cm³
data_Li3Ni2IrO6
_chemical_formula_sum 'Li6 Ni4 Ir2 O12'
_symmetry_space_group_name_H-M 'C 1 2/m 1'
_symmetry_Int_Tables_number 12
_symmetry_space_group_name_Hall '-C 2y'
_cell_length_a 5.201
_cell_length_b 9.010
_cell_length_c 5.146
_cell_angle_alpha 90.00
_cell_angle_beta 109.90
_cell_angle_gamma 90.00
loop_
_atom_site_label
_atom_site_fract_x
_atom_site_fract_y
_atom_site_fract_z
Li1 0.000 0.000 0.000
Li2 0.000 0.332 0.000
Ni1 0.000 0.167 0.500
Ir1 0.000 0.500 0.500
O1 0.238 0.340 0.734
O2 0.241 0.500 0.270